VASP calculation (PBE) on Y12Er2Tm5 after structural relaxation.

Unit cell a=6.2473 b=8.7903 c=12.0378 alpha=69.68 beta=80.09 gamma=78.77
Element x y z (fractional)
Y (0.0414, 0.0730, 0.3280)
Y (0.1923, 0.2613, 0.6648)
Y (0.2330, 0.3983, 0.3587)
Y (0.2589, 0.5355, 0.7898)
Y (0.3330, 0.7945, 0.1723)
Y (0.4127, 0.8733, 0.8413)
Y (0.5873, 0.1267, 0.1587)
Y (0.6670, 0.2055, 0.8277)
Y (0.7411, 0.4645, 0.2102)
Y (0.7670, 0.6017, 0.6413)
Y (0.8077, 0.7387, 0.3352)
Y (0.9586, 0.9270, 0.6720)
Er (0.2449, 0.4956, 0.0661)
Er (0.7551, 0.5044, 0.9339)
Tm (0.1300, 0.1633, 0.9924)
Tm (0.2883, 0.6733, 0.4894)
Tm (0.5000, 0.0000, 0.5000)
Tm (0.7117, 0.3267, 0.5106)
Tm (0.8700, 0.8367, 0.0076)

Results
Distance to the lowest polymorph of the same formula in meV per atom: 0
Uncorrected energy in eV/f.u.: -107.85
Space-group type: P-1, No. 2

VASP calculation (PBE) on Y2Er5Tm5 after structural relaxation.

Unit cell a=6.5246 b=6.5246 c=11.8057 alpha=106.35 beta=106.35 gamma=50.28
Element x y z (fractional)
Y (0.0463, 0.0463, 0.2040)
Y (0.9537, 0.9537, 0.7960)
Er (0.2874, 0.2874, 0.4648)
Er (0.4527, 0.4527, 0.2971)
Er (0.5000, 0.5000, 0.0000)
Er (0.5473, 0.5473, 0.7029)
Er (0.7126, 0.7126, 0.5352)
Tm (0.0000, 0.0000, 0.5000)
Tm (0.2145, 0.2145, 0.0377)
Tm (0.2493, 0.2493, 0.7502)
Tm (0.7507, 0.7507, 0.2498)
Tm (0.7855, 0.7855, 0.9623)

Results
Uncorrected energy in eV/f.u.: -57.20
Space-group type: C2/m, No. 12